1.
First-principles (PBE-GGA) data for a relaxed structure of MgTaRh3, as listed in Alexandria via LeMat-Bulk.

```
5
Lattice="-2.435 2.565 2.582 -2.719 0.783 -3.342 -2.420 -3.462 1.157" Properties=species:S:1:pos:R:3 pbc="T T T"
Ta -3.787 -0.057 0.199
Rh -1.218 1.283 1.291
Rh -1.360 0.392 -1.671
Rh -1.210 -1.731 0.579
Mg 0.000 0.000 0.000
```

energy of formation = 0.769 eV/atom
VASP energy = -6.331 eV/atom
distance to the lowest polymorph of the same formula = 6.239 kcal/mol of atoms

***

2.
First-principles (PBE-GGA) data for a relaxed structure of LiMg2Ir, as listed in Alexandria via LeMat-Bulk.

```
4
Lattice="-3.152 0.077 -0.788 -0.640 -2.151 2.350 -0.904 4.727 4.081" Properties=species:S:1:pos:R:3 pbc="T T T"
Li -2.540 2.332 3.690
Ir -0.472 2.466 2.129
Mg -2.169 0.392 2.015
Mg -0.871 4.554 3.932
```

energy of formation = -0.127 eV/atom
VASP energy = -3.618 eV/atom

***

3.
First-principles (PBE-GGA) data for a relaxed structure of Pm4Nd2Sm2Er, as listed in Alexandria via LeMat-Bulk.

```
9
Lattice="3.668 0.000 0.000 -1.834 9.487 -0.546 0.000 -3.698 9.033" Properties=species:S:1:pos:R:3 pbc="T T T"
Pm 0.000 6.665 5.520
Pm 0.000 2.285 2.802
Pm 1.834 3.504 5.685
Pm 1.834 -0.876 2.968
Nd 1.834 -0.560 8.845
Nd 0.000 6.349 -0.358
Sm 0.000 0.335 5.862
Sm 1.834 5.454 2.625
Er 0.000 0.000 0.000
```

energy of formation = 0.011 eV/atom
VASP energy = -4.716 eV/atom

***

4.
First-principles (PBE-GGA) data for a relaxed structure of LaSmSnPb, as listed in Alexandria via LeMat-Bulk.

```
4
Lattice="5.567 0.000 0.000 2.783 4.821 0.000 2.783 1.607 4.545" Properties=species:S:1:pos:R:3 pbc="T T T"
Pb 8.350 4.821 3.409
Sm 0.000 0.000 0.000
Sn 2.783 1.607 1.136
La 5.567 3.214 2.273
```

energy of formation = -0.536 eV/atom
VASP energy = -4.875 eV/atom
distance to the lowest polymorph of the same formula = 3.068 kcal/mol of atoms

***

5.
First-principles (PBE-GGA) data for a relaxed structure of Ti4GaPb, as listed in Alexandria via LeMat-Bulk.

```
12
Lattice="6.863 0.338 0.000 -0.914 5.605 0.000 -2.975 -2.971 5.710" Properties=species:S:1:pos:R:3 pbc="T T T"
Pb 1.716 0.085 3.792
Pb 1.259 2.887 1.918
Ti -1.223 3.648 3.630
Ti 3.731 1.975 0.734
Ti -0.756 0.997 4.976
Ti 5.650 4.137 0.734
Ti -2.676 -1.166 4.976
Ti 3.741 2.126 3.630
Ti -0.766 0.845 2.080
Ti 4.198 -0.676 2.080
Ga 1.716 0.085 0.591
Ga 1.259 2.887 5.119
```

energy of formation = -0.068 eV/atom
VASP energy = -6.454 eV/atom

***

6.
First-principles (PBE-GGA) data for a relaxed structure of LaPb2Au2, as listed in Alexandria via LeMat-Bulk.

```
5
Lattice="4.927 0.000 0.000 0.000 4.927 0.000 2.463 2.463 5.678" Properties=species:S:1:pos:R:3 pbc="T T T"
Au 4.927 2.463 2.839
Au 2.463 4.927 2.839
La 0.000 0.000 0.000
Pb 4.927 4.927 4.215
Pb 2.463 2.463 1.462
```

energy of formation = -0.308 eV/atom
VASP energy = -4.087 eV/atom

***

7.
First-principles (PBE-GGA) data for a relaxed structure of Ti2Al2Sn, as listed in Alexandria via LeMat-Bulk.

```
10
Lattice="-3.677 5.753 1.304 -5.277 -2.521 -3.757 -1.399 -1.580 3.026" Properties=species:S:1:pos:R:3 pbc="T T T"
Sn 0.000 0.000 0.000
Sn -4.477 1.616 -1.227
Al -6.515 3.460 -1.206
Al -2.955 3.280 0.346
Al -5.998 -0.048 -2.799
Al -2.439 -0.228 -1.247
Ti -4.890 -1.490 -0.791
Ti -7.537 0.999 -0.715
Ti -5.463 3.142 1.363
Ti -2.815 0.653 1.288
```

energy of formation = -0.138 eV/atom
VASP energy = -5.594 eV/atom
distance to the lowest polymorph of the same formula = 0.000 kcal/mol of atoms

***

8.
First-principles (PBE-GGA) data for a relaxed structure of TbPr4Hg4, as listed in Alexandria via LeMat-Bulk.

```
18
Lattice="-4.286 -1.352 3.684 -5.250 -3.387 -7.353 3.858 -8.751 1.276" Properties=species:S:1:pos:R:3 pbc="T T T"
Pr -3.755 -11.425 -0.408
Pr 1.614 -6.217 0.606
Pr -4.138 -3.913 -2.679
Pr -3.951 -6.219 -5.870
Pr -4.762 -8.812 -3.182
Pr -0.595 -9.280 -0.526
Pr -1.862 -4.977 1.601
Pr -5.264 -3.120 0.886
Hg -0.540 -4.663 -1.295
Hg -6.585 -5.602 -4.090
Hg -2.402 -11.100 -3.332
Hg -1.829 -7.784 -3.942
Hg -5.791 -5.883 -0.776
Hg -0.071 -8.197 2.537
Hg -2.299 -2.083 0.099
Hg -3.197 -8.652 1.226
Tb 0.000 0.000 0.000
Tb -2.839 -6.745 -1.197
```

energy of formation = -0.264 eV/atom
VASP energy = -3.037 eV/atom

***

9.
First-principles (PBE-GGA) data for a relaxed structure of Sr2FeMo, as listed in Alexandria via LeMat-Bulk.

```
4
Lattice="5.193 0.000 0.000 2.596 4.497 0.000 2.596 1.499 4.240" Properties=species:S:1:pos:R:3 pbc="T T T"
Fe 5.193 2.998 2.120
Sr 0.000 0.000 0.000
Sr 2.596 1.499 1.060
Mo 7.789 4.497 3.180
```

energy of formation = 1.194 eV/atom
VASP energy = -4.470 eV/atom
distance to the lowest polymorph of the same formula = 14.378 kcal/mol of atoms

***

10.
First-principles (PBE-GGA) data for a relaxed structure of PmSmAlAg, as listed in Alexandria via LeMat-Bulk.

```
4
Lattice="3.627 0.000 0.000 0.000 3.627 0.000 0.000 0.000 7.742" Properties=species:S:1:pos:R:3 pbc="T T T"
Pm 0.000 0.000 2.795
Ag 1.813 1.813 0.797
Al 1.813 1.813 4.717
Sm 0.000 0.000 6.618
```

energy of formation = -0.327 eV/atom
VASP energy = -4.342 eV/atom
distance to the lowest polymorph of the same formula = 0.000 kcal/mol of atoms

***

11.
First-principles (PBE-GGA) data for a relaxed structure of Be3TeS, as listed in Alexandria via LeMat-Bulk.

```
5
Lattice="-3.417 -3.212 0.506 0.172 -0.912 -4.624 3.247 -3.332 0.778" Properties=species:S:1:pos:R:3 pbc="T T T"
Be -1.708 -1.606 0.253
Be 0.086 -0.456 -2.312
Be 1.623 -1.666 0.389
Te 0.000 0.000 0.000
S 0.001 -3.728 -1.670
```

VASP energy = -2.477 eV/atom
distance to the lowest polymorph of the same formula = 15.854 kcal/mol of atoms
uncorrected formation energy = 117.0 kJ per mole of atoms

***

12.
First-principles (PBE-GGA) data for a relaxed structure of Cs2Sc2Te2As, as listed in Alexandria via LeMat-Bulk.

```
7
Lattice="-2.512 1.531 -4.225 1.849 -4.059 -2.570 -7.354 -3.937 6.081" Properties=species:S:1:pos:R:3 pbc="T T T"
Sc -1.256 0.766 -2.112
Sc 0.925 -2.029 -1.285
Cs -2.753 -1.864 0.962
Cs -5.263 -4.601 -1.675
Te -6.134 -4.152 2.142
Te -1.882 -2.313 -2.856
As 0.000 0.000 0.000
```

VASP energy = -4.648 eV/atom
uncorrected formation energy = -99.7 kJ per mole of atoms

***

13.
First-principles (PBE-GGA) data for a relaxed structure of LaMnMo2, as listed in Alexandria via LeMat-Bulk.

```
4
Lattice="-3.132 1.738 -4.361 -1.200 -3.910 -3.889 -0.504 1.448 5.432" Properties=species:S:1:pos:R:3 pbc="T T T"
Mo -3.020 0.990 -1.754
Mo -4.200 -2.106 -7.998
Mn -1.892 -1.753 -1.209
La -2.222 -1.114 -4.232
```

energy of formation = 0.586 eV/atom
VASP energy = -8.354 eV/atom
distance to the lowest polymorph of the same formula = 6.281 kcal/mol of atoms

***

14.
First-principles (PBE-GGA) data for a relaxed structure of BaRe2RuS, as listed in Alexandria via LeMat-Bulk.

```
5
Lattice="4.385 0.000 0.000 0.000 5.653 0.000 0.000 0.000 4.385" Properties=species:S:1:pos:R:3 pbc="T T T"
Re 0.000 0.000 2.193
Re 2.193 0.000 0.000
Ru 2.193 2.826 2.193
Ba 0.000 2.826 0.000
S 0.000 0.000 0.000
```

VASP energy = -6.746 eV/atom
uncorrected formation energy = 125.3 kJ per mole of atoms

***

15.
First-principles (PBE-GGA) data for a relaxed structure of NpCuTeO6, as listed in Alexandria via LeMat-Bulk.

```
18
Lattice="5.601 0.000 0.000 -2.801 4.851 0.000 0.000 0.000 8.965" Properties=species:S:1:pos:R:3 pbc="T T T"
Cu 0.000 0.000 0.000
Cu 0.000 0.000 4.483
O 1.026 1.646 3.308
O -0.863 4.785 5.658
O 4.576 1.646 1.175
O 3.663 0.065 3.308
O 1.888 3.140 1.175
O -1.775 3.205 7.790
O 3.713 3.140 3.308
O -0.912 1.711 5.658
O 1.938 0.065 1.175
O 0.912 1.711 7.790
O 1.775 3.205 5.658
O 0.863 4.785 7.790
Np 0.000 3.234 6.724
Np 2.801 1.617 2.241
Te 2.801 1.617 6.724
Te 0.000 3.234 2.241
```

VASP energy = -7.029 eV/atom
uncorrected formation energy = -143.0 kJ per mole of atoms

***

16.
First-principles (PBE-GGA) data for a relaxed structure of K3Sm3HoSe8, as listed in Alexandria via LeMat-Bulk.

```
15
Lattice="8.458 0.000 0.000 -4.229 7.331 -0.031 0.000 -4.860 7.868" Properties=species:S:1:pos:R:3 pbc="T T T"
Se 4.229 2.497 2.321
Se 2.154 3.709 5.501
Se 6.383 -1.237 2.336
Se 0.000 2.451 2.270
Se 4.229 0.020 5.568
Se -2.154 3.708 5.501
Se 0.000 -0.026 5.517
Se 2.075 -1.237 2.336
K -2.114 3.666 -0.015
K 2.115 3.666 -0.015
K 0.000 0.000 0.000
Sm 2.115 1.236 3.919
Sm -2.115 1.236 3.919
Sm 4.229 -2.430 3.934
Ho 0.000 -2.430 3.934
```

VASP energy = -4.996 eV/atom
uncorrected formation energy = -161.1 kJ per mole of atoms

***

17.
First-principles (PBE-GGA) data for a relaxed structure of YTiZnIr2, as listed in Alexandria via LeMat-Bulk.

```
5
Lattice="-1.849 3.520 -0.368 -2.535 -1.607 -2.633 -1.413 -2.395 5.849" Properties=species:S:1:pos:R:3 pbc="T T T"
Ir -2.808 -1.121 3.387
Ir -2.989 0.638 -0.540
Ti -3.070 -1.523 0.857
Zn -2.727 1.041 1.990
Y 0.000 0.000 0.000
```

energy of formation = -0.656 eV/atom
VASP energy = -7.327 eV/atom

***

18.
First-principles (PBE-GGA) data for a relaxed structure of Ca2Zn3Ag12Sn, as listed in Alexandria via LeMat-Bulk.

```
18
Lattice="-3.657 -9.538 2.785 3.180 -9.901 1.991 0.518 -7.200 7.746" Properties=species:S:1:pos:R:3 pbc="T T T"
Zn -1.828 -4.769 1.393
Zn 0.259 -3.600 3.873
Zn 1.590 -4.950 0.996
Ag 1.436 -7.697 2.420
Ag -1.447 -14.754 6.256
Ag -1.249 -11.739 6.585
Ag -0.197 -20.158 7.513
Ag 0.224 -13.818 8.242
Ag 1.290 -14.899 5.938
Ag -1.395 -18.942 10.103
Ag -0.183 -12.821 4.281
Ag 0.238 -6.481 5.010
Ag 1.682 -19.105 9.746
Ag 1.488 -11.885 6.267
Ag -1.641 -7.534 2.777
Ca 0.015 -9.620 4.522
Ca 0.026 -17.019 8.001
Sn 0.000 0.000 0.000
```

energy of formation = 0.054 eV/atom
VASP energy = -2.504 eV/atom

***

19.
First-principles (PBE-GGA) data for a relaxed structure of CoCu2Mo, as listed in Alexandria via LeMat-Bulk.

```
4
Lattice="-1.655 -3.833 -0.577 2.589 -0.791 -2.172 1.867 -1.208 2.665" Properties=species:S:1:pos:R:3 pbc="T T T"
Cu 0.000 0.000 0.000
Cu 2.228 -0.999 0.246
Mo 0.467 -2.312 -1.375
Co 0.106 -2.521 1.044
```

energy of formation = 0.345 eV/atom
VASP energy = -6.187 eV/atom
distance to the lowest polymorph of the same formula = 4.388 kcal/mol of atoms

***

20.
First-principles (PBE-GGA) data for a relaxed structure of NaTaAs2, as listed in Alexandria via LeMat-Bulk.

```
4
Lattice="-2.003 -1.702 3.893 -4.608 0.569 0.711 -2.891 -3.692 -0.269" Properties=species:S:1:pos:R:3 pbc="T T T"
Na 0.000 0.000 0.000
Ta -4.751 -2.413 2.168
As -7.127 -3.620 3.251
As -2.376 -1.207 1.084
```

energy of formation = 0.071 eV/atom
VASP energy = -5.546 eV/atom
distance to the lowest polymorph of the same formula = 10.779 kcal/mol of atoms